InSbMoF2 (PBE+U, relaxed); energy = -4.558 eV per atom; DOS(E_F) = 0.590 states/eV/atom; space group = P4/mmm
1.0
-1.830 3.683 0.939
-3.826 -0.466 -5.632
-2.975 -2.037 2.190
F Mo In Sb
2 1 1 1
Direct
0.000 0.000 0.500
0.500 0.000 0.000
0.000 0.000 0.000
0.000 0.500 0.000
0.500 0.500 0.500